Record 1
# CsTePS2

CsTePS2 after structural relaxation (PBE-GGA, the Alexandria database).

Cell: 5.313 5.313 5.289 Å, 90.00 90.00 90.00°
Space group P4/mmm (No. 123)
Inequivalent atoms, fractional coordinates:
Cs  0.000  0.000  0.000 [1 per cell]
Te  0.500  0.500  0.500 [1 per cell]
P  0.500  0.500  0.000 [1 per cell]
S  0.000  0.500  0.500 [2 per cell]

## Properties
The raw formation energy is 0.7 eV per formula unit.


Record 2
# Tb3HoCu4

Tb3HoCu4 after structural relaxation (PBE-GGA, the Alexandria database).

Cell: 3.472 3.472 13.909 Å, 90.00 90.00 90.00°
Space group P4/mmm (No. 123)
Inequivalent atoms, fractional coordinates:
Tb  0.000  0.000  0.000 [1 per cell]
Tb  0.000  0.000  0.251 [2 per cell]
Ho  0.000  0.000  0.500 [1 per cell]
Cu  0.500  0.500  0.125 [2 per cell]
Cu  0.500  0.500  0.378 [2 per cell]

## Properties
As for the formation enthalpy at 0 K: -0.247 eV per atom.


Record 3
# LaOsSN2

LaOsSN2 after structural relaxation (PBE-GGA, the Alexandria database).

Cell: 3.959 3.959 4.877 Å, 90.00 90.00 90.00°
Space group P4/mmm (No. 123)
Inequivalent atoms, fractional coordinates:
La  0.000  0.000  0.000 [1 per cell]
Os  0.500  0.500  0.500 [1 per cell]
S  0.500  0.500  0.000 [1 per cell]
N  0.000  0.500  0.500 [2 per cell]

## Properties
The raw formation energy is -2.1 eV per formula unit.


Record 4
# CsGeOs3

CsGeOs3 after structural relaxation (PBE-GGA, the Alexandria database).

Cell: 4.782 4.782 4.782 Å, 90.00 90.00 90.00°
Space group Pm-3m (No. 221)
Inequivalent atoms, fractional coordinates:
Cs  0.000  0.000  0.000 [1 per cell]
Ge  0.500  0.500  0.500 [1 per cell]
Os  0.000  0.500  0.500 [3 per cell]

## Properties
As for the formation enthalpy at 0 K: 2.099 eV per atom.


Record 5
# LaGdNi2

LaGdNi2 after structural relaxation (PBE-GGA, the Alexandria database).

Cell: 3.477 3.477 6.951 Å, 90.00 90.00 90.00°
Space group P4/mmm (No. 123)
Inequivalent atoms, fractional coordinates:
La  0.000  0.000  0.000 [1 per cell]
Gd  0.000  0.000  0.500 [1 per cell]
Ni  0.500  0.500  0.268 [2 per cell]

## Properties
As for the formation enthalpy at 0 K: -0.282 eV per atom.


Record 6
# Li9Mg4Pd11

Li9Mg4Pd11 after structural relaxation (PBE-GGA, the Alexandria database).

Cell: 13.093 18.570 2.934 Å, 90.00 90.00 90.00°
Space group Cmmm (No. 65)
Inequivalent atoms, fractional coordinates:
Li  0.000  0.000  0.000 [2 per cell]
Li  0.107  0.409  0.000 [8 per cell]
Li  0.112  0.234  0.000 [8 per cell]
Mg  0.165  0.089  0.000 [8 per cell]
Pd  0.000  0.133  0.500 [4 per cell]
Pd  0.000  0.320  0.500 [4 per cell]
Pd  0.000  0.500  0.500 [2 per cell]
Pd  0.218  0.500  0.500 [4 per cell]
Pd  0.224  0.322  0.500 [8 per cell]

## Properties
As for the formation enthalpy at 0 K: -0.473 eV per atom.


Record 7
# KZrGa2O6

KZrGa2O6 after structural relaxation (PBE-GGA, the Alexandria database).

Cell: 9.415 12.078 6.505 Å, 90.00 114.62 90.00°
Space group C2/c (No. 15)
Inequivalent atoms, fractional coordinates:
K  0.000  0.106  0.250 [4 per cell]
Zr  0.000  0.194  0.750 [4 per cell]
Ga  0.131  0.420  0.150 [8 per cell]
O  0.080  0.278  0.036 [8 per cell]
O  0.103  0.465  0.422 [8 per cell]
O  0.151  0.086  0.720 [8 per cell]

## Properties
The raw formation energy is -20.0 eV per formula unit.


Record 8
# La2Ni

La2Ni after structural relaxation (PBE-GGA, the Alexandria database).

Cell: 8.778 8.778 8.778 Å, 90.00 90.00 90.00°
Space group Fd-3m (No. 227, origin choice 2)
Inequivalent atoms, fractional coordinates:
La  0.000  0.000  0.000 [16 per cell]
Ni  0.125  0.125  0.625 [8 per cell]

## Properties
As for the formation enthalpy at 0 K: 0.830 eV per atom.


Across the entries above, final energy takes the values -3.3917, -4.6033, -7.8056, -5.7332, -7.9249, -3.8366, -6.5420, -4.3822 eV/atom, respectively.